No. 1
Computed, not measured: a geometry-optimized YHoGaNi structure at the PBE level of DFT.

abc: 4.9302 4.9302 4.9302
angles: 60.00 60.00 60.00
Sites, in units of the cell vectors:
Y (0.0000, 0.0000, 0.0000)
Ho (0.5000, 0.5000, 0.5000)
Ga (0.2500, 0.2500, 0.2500)
Ni (0.7500, 0.7500, 0.7500)

Computed properties:
The total energy is -21.679 eV per formula unit. As for the space group: F-43m, No. 216. Its density of states at the Fermi level is 3.4 states/eV per cell. The calculation puts the energy relative to the lowest polymorph listed for this composition at 51.0 meV per atom. As for the calculated formation energy: -0.46 eV/atom.

---

No. 2
Computed, not measured: a geometry-optimized Ho2Zn3GaNi12 structure at the PBE level of DFT.

abc: 11.5521 11.5521 11.5521
angles: 25.80 25.80 25.80
Sites, in units of the cell vectors:
Ho (0.1402, 0.1402, 0.1402)
Ho (0.8598, 0.8598, 0.8598)
Zn (0.0000, 0.5000, 0.5000)
Zn (0.5000, 0.0000, 0.5000)
Zn (0.5000, 0.5000, 0.0000)
Ga (0.5000, 0.5000, 0.5000)
Ni (0.1004, 0.1004, 0.6322)
Ni (0.1004, 0.6322, 0.1004)
Ni (0.1123, 0.6092, 0.6092)
Ni (0.3678, 0.8996, 0.8996)
Ni (0.3908, 0.3908, 0.8877)
Ni (0.3908, 0.8877, 0.3908)
Ni (0.6092, 0.1123, 0.6092)
Ni (0.6092, 0.6092, 0.1123)
Ni (0.6322, 0.1004, 0.1004)
Ni (0.8877, 0.3908, 0.3908)
Ni (0.8996, 0.3678, 0.8996)
Ni (0.8996, 0.8996, 0.3678)

Computed properties:
The total energy is -85.791 eV per formula unit. As for the space group: R-3m, No. 166. Its density of states at the Fermi level is 25.7 states/eV per cell. As for the calculated formation energy: -0.02 eV/atom.